1.
Material: CeRh2
Method: DFT, GGA-PBEsol
State: relaxed

Properties
- ΔE_f (eV/atom) = -0.68

Cell lengths 7.435, 7.435, 7.435 Å; angles 90.00, 90.00, 90.00 degrees
Space group Fd-3m (No. 227, origin choice 2)
One atom of each set of equivalent atoms:
Ce  0.125  0.125  0.125 x8
Rh  0.000  0.000  0.500 x16



2.
Material: CeRh3
Method: DFT, GGA-PBEsol
State: relaxed

Properties
- ΔE_f (eV/atom) = -0.59

Cell lengths 3.990, 3.990, 3.990 Å; angles 90.00, 90.00, 90.00 degrees
Space group Pm-3m (No. 221)
One atom of each set of equivalent atoms:
Ce  0.000  0.000  0.000 x1
Rh  0.000  0.500  0.500 x3



3.
Material: Ce3Rh2
Method: DFT, GGA-PBEsol
State: relaxed

Properties
- ΔE_f (eV/atom) = -0.48

Cell lengths 8.5335, 8.5335, 15.9677 Å; angles 90.00, 90.00, 120.00 degrees
Space group R-3 (No. 148, hexagonal axes)
One atom of each set of equivalent atoms:
Ce  0.0000  0.0000  0.0000 x3
Ce  0.0000  0.0000  0.2082 x6
Ce  0.0157  0.7631  0.5948 x18
Rh  0.0252  0.4040  0.5685 x18



4.
Material: CeRuRh
Method: DFT, GGA-PBEsol
State: relaxed

Properties
- ΔE_f (eV/atom) = -0.45

Cell lengths 4.940, 5.323, 7.848 Å; angles 90.00, 90.00, 90.00 degrees
Space group Imma (No. 74)
One atom of each set of equivalent atoms:
Ce  0.000  0.250  0.130 x4
Ru  0.250  0.250  0.750 x4
Rh  0.000  0.000  0.500 x4



Number 1: size of the total moment 0.0 μB per formula unit. Number 2: size of the total moment 0.0 μB per formula unit. Number 3: size of the total moment 1.3 μB per formula unit. Number 4: size of the total moment 0.0 μB per formula unit.